DFT (PBE-GGA) results for a relaxed structure of Na7Cd2In2.

Cell: 9.053 9.053 9.053 Å, 146.28 63.85 127.52°
Element x y z (fractional)
Na: 0.000 0.000 0.000
Na: 0.116 0.464 0.652
Na: 0.263 0.908 0.354
Na: 0.532 0.690 0.842
Na: 0.554 0.908 0.646
Na: 0.812 0.464 0.348
Na: 0.849 0.690 0.158
Cd: 0.013 0.197 0.816
Cd: 0.381 0.197 0.184
In: 0.427 0.427 0.000
In: 0.680 0.180 0.500

Results
E_tot: -0.1138 Ry/atom
Mass density: 3.2 g/cm3
Spin magnetization: 0.00 μB/f.u.
Space-group type: Imm2
Energy above the most stable polymorph in this dataset: 0.0284 eV/atom
Density of states at the Fermi level: 6.70 states/eV/cell
Crystal system: orthorhombic